This record from Alexandria describes crystalline CuAg3Te at its relaxed geometry. The functional is PBE.

For the total magnetization, the calculation gives 0.00 μB/f.u. The raw formation energy comes out at 0.463 eV/atom. Its crystal system is cubic.

It has space group Pm-3m (No. 221), with a = 4.847 Å, b = 4.847 Å, c = 4.847 Å, α = 90.00°, β = 90.00° and γ = 90.00°. The inequivalent atoms are Cu at (0.000, 0.000, 0.000), Ag at (0.000, 0.000, 0.500) and Te at (0.500, 0.500, 0.500).